# 1
## CoCu2Tc (GGA-PBE)

Data for an optimized crystal structure of CoCu2Tc.

Lattice parameters (Å, degrees): 5.113 5.113 5.113 150.41 129.87 59.29
Element x y z (fractional)
Co1 0.000 0.000 0.000
Cu1 0.239 0.739 0.500
Cu2 0.761 0.261 0.500
Tc1 0.500 0.500 0.000

E	-6.130	eV/atom
density of states at the Fermi level	0.9873	states/eV/atom
total moment	2.26	μB/cell
energy of formation from the pure elements	286	meV per atom

# 2
## Co2CuTc2 (GGA-PBE)

Data for an optimized crystal structure of Co2CuTc2.

Lattice parameters (Å, degrees): 7.075 7.075 2.591 90.00 90.00 90.00
Element x y z (fractional)
Co1 0.119 0.381 0.000
Co2 0.381 0.881 0.000
Co3 0.619 0.119 0.000
Co4 0.881 0.619 0.000
Cu1 0.000 0.000 0.000
Cu2 0.500 0.500 0.000
Tc1 0.175 0.675 0.500
Tc2 0.325 0.175 0.500
Tc3 0.675 0.825 0.500
Tc4 0.825 0.325 0.500

E	-7.581	eV/atom
density of states at the Fermi level	1.5866	states/eV/atom
total moment	0.05	μB/cell
energy of formation from the pure elements	227	meV per atom

# 3
## CoCu4Tc (GGA-PBE)

Data for an optimized crystal structure of CoCu4Tc.

Lattice parameters (Å, degrees): 4.720 4.720 4.720 60.00 60.00 60.00
Element x y z (fractional)
Co1 0.000 0.000 0.000
Cu1 0.125 0.625 0.625
Cu2 0.625 0.125 0.625
Cu3 0.625 0.625 0.125
Cu4 0.625 0.625 0.625
Tc1 0.250 0.250 0.250

E	-5.303	eV/atom
density of states at the Fermi level	1.2263	states/eV/atom
total moment	2.47	μB/cell
energy of formation from the pure elements	340	meV per atom

# 4
## CoCu2Tc (GGA-PBE)

Data for an optimized crystal structure of CoCu2Tc.

Lattice parameters (Å, degrees): 4.593 4.593 4.485 99.34 99.34 32.28
Element x y z (fractional)
Co1 0.000 0.000 0.000
Cu1 0.253 0.253 0.755
Cu2 0.747 0.747 0.245
Tc1 0.500 0.500 0.500

E	-6.189	eV/atom
density of states at the Fermi level	0.9589	states/eV/atom
total moment	1.89	μB/cell
energy of formation from the pure elements	227	meV per atom

# 5
## CoCu2Tc (GGA-PBE)

Data for an optimized crystal structure of CoCu2Tc.

Lattice parameters (Å, degrees): 5.299 5.299 5.299 101.90 101.90 125.99
Element x y z (fractional)
Co1 0.000 0.000 0.000
Co2 0.750 0.250 0.500
Cu1 0.107 0.125 0.482
Cu2 0.375 0.893 0.018
Cu3 0.643 0.625 0.518
Cu4 0.875 0.357 0.982
Tc1 0.250 0.750 0.500
Tc2 0.500 0.500 0.000

E	-5.627	eV/atom
density of states at the Fermi level	1.5569	states/eV/atom
total moment	5.33	μB/cell
energy of formation from the pure elements	789	meV per atom

# 6
## CoCu2Tc (GGA-PBE)

Data for an optimized crystal structure of CoCu2Tc.

Lattice parameters (Å, degrees): 2.616 4.324 4.464 90.00 90.00 90.00
Element x y z (fractional)
Co1 0.000 0.000 0.000
Cu1 0.000 0.500 0.500
Cu2 0.500 0.000 0.500
Tc1 0.500 0.500 0.000

E	-6.119	eV/atom
density of states at the Fermi level	0.9206	states/eV/atom
total moment	2.02	μB/cell
energy of formation from the pure elements	297	meV per atom

# 7
## CoCu2Tc (GGA-PBE)

Data for an optimized crystal structure of CoCu2Tc.

Lattice parameters (Å, degrees): 4.418 4.418 4.615 98.50 98.50 33.70
Element x y z (fractional)
Co1 0.000 0.000 0.000
Cu1 0.256 0.256 0.703
Cu2 0.505 0.505 0.495
Tc1 0.748 0.748 0.192

E	-6.217	eV/atom
density of states at the Fermi level	0.9330	states/eV/atom
total moment	0.35	μB/cell
energy of formation from the pure elements	199	meV per atom

# 8
## CoCu2Tc (GGA-PBE)

Data for an optimized crystal structure of CoCu2Tc.

Lattice parameters (Å, degrees): 4.639 4.639 4.639 134.54 134.54 66.25
Element x y z (fractional)
Co1 0.000 0.000 0.000
Cu1 0.250 0.750 0.500
Cu2 0.750 0.250 0.500
Tc1 0.500 0.500 0.000

E	-6.095	eV/atom
density of states at the Fermi level	1.3930	states/eV/atom
total moment	2.60	μB/cell
energy of formation from the pure elements	321	meV per atom

# 9
## CoCu2Tc (GGA-PBE)

Data for an optimized crystal structure of CoCu2Tc.

Lattice parameters (Å, degrees): 4.924 4.924 4.924 148.11 127.61 62.65
Element x y z (fractional)
Co1 0.000 0.000 0.000
Cu1 0.244 0.744 0.500
Cu2 0.489 0.489 0.000
Tc1 0.760 0.260 0.500

E	-6.103	eV/atom
density of states at the Fermi level	1.0193	states/eV/atom
total moment	0.01	μB/cell
energy of formation from the pure elements	313	meV per atom

# 10
## CoCu2Tc (GGA-PBE)

Data for an optimized crystal structure of CoCu2Tc.

Lattice parameters (Å, degrees): 4.488 4.488 2.528 90.00 90.00 90.00
Element x y z (fractional)
Co1 0.000 0.000 0.000
Cu1 0.000 0.500 0.500
Cu2 0.500 0.000 0.500
Tc1 0.500 0.500 0.000

E	-6.037	eV/atom
density of states at the Fermi level	0.5676	states/eV/atom
total moment	2.36	μB/cell
energy of formation from the pure elements	379	meV per atom

# 11
## CoCu2Tc (GGA-PBE)

Data for an optimized crystal structure of CoCu2Tc.

Lattice parameters (Å, degrees): 2.602 2.602 7.256 90.00 90.00 90.00
Element x y z (fractional)
Co1 0.000 0.000 0.000
Cu1 0.000 0.000 0.486
Cu2 0.500 0.500 0.242
Tc1 0.500 0.500 0.763

E	-6.294	eV/atom
density of states at the Fermi level	0.9409	states/eV/atom
total moment	0.00	μB/cell
energy of formation from the pure elements	122	meV per atom

# 12
## CoCu2Tc (GGA-PBE)

Data for an optimized crystal structure of CoCu2Tc.

Lattice parameters (Å, degrees): 2.542 3.916 5.125 90.00 104.18 90.00
Element x y z (fractional)
Co1 0.000 0.000 0.000
Cu1 0.147 0.500 0.299
Cu2 0.746 0.000 0.497
Tc1 0.410 0.500 0.818

E	-6.229	eV/atom
density of states at the Fermi level	0.9178	states/eV/atom
total moment	0.00	μB/cell
energy of formation from the pure elements	187	meV per atom

# 13
## CoCu2Tc (GGA-PBE)

Data for an optimized crystal structure of CoCu2Tc.

Lattice parameters (Å, degrees): 2.585 3.648 5.234 90.00 90.00 90.00
Element x y z (fractional)
Co1 0.000 0.000 0.000
Cu1 0.000 0.000 0.503
Cu2 0.500 0.500 0.277
Tc1 0.500 0.500 0.790

E	-6.250	eV/atom
density of states at the Fermi level	1.0897	states/eV/atom
total moment	0.00	μB/cell
energy of formation from the pure elements	166	meV per atom